Record 1
Computed, not measured: a relaxed Cu5Hg12Br3 crystal at the PBE level of DFT.

Values from the calculation:
**Formation energy from raw total energies**: 0.1059 eV per atom

a = 14.6063 Å, b = 14.6063 Å, c = 14.6063 Å
α = 109.47°, β = 109.47°, γ = 109.47°
Fractional coordinates of all 80 atoms:
Hg 0.8211 0.9246 0.0208
Hg 0.9792 0.4038 0.3003
Hg 0.3211 0.5208 0.4246
Hg 0.9038 0.3003 0.4792
Hg 0.8003 0.3211 0.8965
Hg 0.6997 0.6035 0.1789
Hg 0.4038 0.4246 0.1035
Hg 0.6035 0.6997 0.6789
Hg 0.6789 0.4792 0.5754
Hg 0.8211 0.8965 0.3003
Hg 0.8965 0.8211 0.8003
Hg 0.0962 0.6997 0.5208
Hg 0.3003 0.9038 0.9792
Hg 0.1997 0.6789 0.1035
Hg 0.5208 0.3211 0.9246
Hg 0.3003 0.3965 0.8211
Hg 0.9246 0.1035 0.9038
Hg 0.5208 0.1997 0.0962
Hg 0.4792 0.8003 0.9038
Hg 0.0754 0.8965 0.0962
Hg 0.5962 0.0208 0.1997
Hg 0.4038 0.9792 0.8003
Hg 0.0754 0.1789 0.4792
Hg 0.4792 0.6789 0.0754
Hg 0.1789 0.0754 0.9792
Hg 0.5754 0.9792 0.6789
Hg 0.4246 0.0208 0.3211
Hg 0.9246 0.8211 0.5208
Hg 0.6789 0.1997 0.6035
Hg 0.1997 0.5208 0.5962
Hg 0.4246 0.4038 0.6035
Hg 0.3965 0.0962 0.5754
Hg 0.1789 0.1035 0.6997
Hg 0.3211 0.8003 0.3965
Hg 0.0962 0.3965 0.0754
Hg 0.1035 0.1789 0.1997
Hg 0.5754 0.5962 0.3965
Hg 0.9792 0.5754 0.1789
Hg 0.0208 0.4246 0.8211
Hg 0.8965 0.0754 0.5962
Hg 0.6035 0.9038 0.4246
Hg 0.3965 0.3003 0.3211
Hg 0.8003 0.4792 0.4038
Hg 0.0208 0.5962 0.6997
Hg 0.6997 0.0962 0.0208
Hg 0.1035 0.9246 0.4038
Hg 0.5962 0.5754 0.8965
Hg 0.9038 0.6035 0.9246
Br 0.6250 0.2500 0.3750
Br 0.8750 0.7500 0.1250
Br 0.6250 0.3750 0.7500
Br 0.1250 0.8750 0.7500
Br 0.3750 0.6250 0.2500
Br 0.8750 0.1250 0.2500
Br 0.7500 0.8750 0.6250
Br 0.7500 0.3750 0.1250
Br 0.3750 0.7500 0.6250
Br 0.1250 0.2500 0.8750
Br 0.2500 0.1250 0.3750
Br 0.2500 0.6250 0.8750
Cu 0.2500 0.8750 0.1250
Cu 0.3750 0.2500 0.1250
Cu 0.7500 0.1250 0.8750
Cu 0.0000 0.5000 0.5000
Cu 0.5000 0.5000 0.0000
Cu 0.8750 0.2500 0.6250
Cu 0.0000 0.5000 0.0000
Cu 0.7500 0.6250 0.3750
Cu 0.5000 0.0000 0.5000
Cu 0.1250 0.3750 0.2500
Cu 0.2500 0.3750 0.6250
Cu 0.5000 0.0000 0.0000
Cu 0.0000 0.0000 0.5000
Cu 0.6250 0.7500 0.8750
Cu 0.8750 0.6250 0.7500
Cu 0.5000 0.5000 0.5000
Cu 0.1250 0.7500 0.3750
Cu 0.0000 0.0000 0.0000
Cu 0.6250 0.8750 0.2500
Cu 0.3750 0.1250 0.7500


Record 2
Computed, not measured: a relaxed MnCo2HW crystal at the PBE level of DFT.

Values from the calculation:
**VASP energy**: -7.130 eV per atom

a = 4.5134 Å, b = 2.8609 Å, c = 4.5134 Å
α = 90.00°, β = 90.00°, γ = 90.00°
Site moments in Bohr magnetons follow the coordinates.
Fractional coordinates of all 5 atoms:
Co 0.0000 0.0000 0.5000  1.06
Co 0.5000 0.0000 0.0000  0.86
Mn 0.0000 0.0000 0.0000  2.67
W 0.5000 0.5000 0.5000  -0.09
H 0.0000 0.5000 0.0000  -0.01


Record 3
Computed, not measured: a relaxed Nd2MgAu6 crystal at the PBE level of DFT.

Values from the calculation:
**Formation enthalpy at 0 K**: -14.5 kcal/mol of atoms

a = 5.5881 Å, b = 6.4014 Å, c = 6.4014 Å
α = 59.90°, β = 89.96°, γ = 89.96°
Fractional coordinates of all 9 atoms:
Nd 0.8303 0.6665 0.6665
Nd 0.1697 0.3335 0.3335
Au 0.3136 0.8174 0.8174
Au 0.6864 0.1826 0.1826
Au 0.6856 0.1819 0.6356
Au 0.3144 0.8181 0.3644
Au 0.6856 0.6356 0.1819
Au 0.3144 0.3644 0.8181
Mg 0.0000 0.0000 0.0000


Record 4
Computed, not measured: a relaxed Rh8C crystal at the PBE level of DFT.

Values from the calculation:
**Formation enthalpy at 0 K**: 13.4 kcal/mol of atoms

a = 5.9455 Å, b = 5.9455 Å, c = 5.9455 Å
α = 96.19°, β = 96.19°, γ = 141.67°
Fractional coordinates of all 9 atoms:
Rh 0.3347 0.6653 0.0000
Rh 0.3347 0.3347 0.6694
Rh 0.0000 0.6757 0.6757
Rh 0.0000 0.3243 0.3243
Rh 0.6757 0.0000 0.6757
Rh 0.6653 0.6653 0.3306
Rh 0.3243 0.0000 0.3243
Rh 0.6653 0.3347 0.0000
C 0.0000 0.0000 0.0000


Record 5
Computed, not measured: a relaxed LaTmTlSn crystal at the PBE level of DFT.

Values from the calculation:
**Formation enthalpy at 0 K**: -11.1 kcal/mol of atoms

a = 5.4607 Å, b = 5.4607 Å, c = 5.4607 Å
α = 60.00°, β = 60.00°, γ = 60.00°
Fractional coordinates of all 4 atoms:
La 0.5000 0.5000 0.5000
Tl 0.7500 0.7500 0.7500
Sn 0.2500 0.2500 0.2500
Tm 0.0000 0.0000 0.0000


Record 6
Computed, not measured: a relaxed Ga2TcBI crystal at the PBE level of DFT.

Values from the calculation:
**Formation energy from raw total energies**: 1.1159 eV per atom

a = 4.2135 Å, b = 5.2794 Å, c = 4.2135 Å
α = 90.00°, β = 90.00°, γ = 90.00°
Site moments in Bohr magnetons follow the coordinates.
Fractional coordinates of all 5 atoms:
B 0.0000 0.0000 0.0000  0.01
Tc 0.5000 0.5000 0.5000  2.21
Ga 0.0000 0.0000 0.5000  -0.03
Ga 0.5000 0.0000 0.0000  -0.04
I 0.0000 0.5000 0.0000  0.01


Record 7
Computed, not measured: a relaxed AgSnF2 crystal at the PBE level of DFT.

Values from the calculation:
**Formation energy from raw total energies**: -1.2507 eV per atom

a = 7.9004 Å, b = 7.9004 Å, c = 7.9004 Å
α = 24.30°, β = 24.30°, γ = 24.30°
Fractional coordinates of all 4 atoms:
Sn 0.0000 0.0000 0.0000
Ag 0.5000 0.5000 0.5000
F 0.9024 0.9024 0.9024
F 0.0976 0.0976 0.0976


Record 8
Computed, not measured: a relaxed La2Nd7Ho crystal at the PBE level of DFT.

Values from the calculation:
**Formation enthalpy at 0 K**: 3.2 kcal/mol of atoms

a = 3.5187 Å, b = 15.2036 Å, c = 15.2037 Å
α = 25.89°, β = 90.00°, γ = 90.00°
Fractional coordinates of all 10 atoms:
Nd 0.5000 0.5000 0.5000
Nd 0.5000 0.8545 0.3410
Nd 0.5000 0.3410 0.8545
Nd 0.0000 0.8120 0.8120
Nd 0.5000 0.1455 0.6590
Nd 0.0000 0.1880 0.1880
Nd 0.5000 0.6590 0.1455
La 0.5000 0.2960 0.2960
La 0.5000 0.7040 0.7040
Ho 0.0000 0.0000 0.0000